## InTcIN2 (GGA-PBE)

Data for a relaxed InTcIN2 crystal.

## Properties
Total moment (μB per formula unit): 0.34
E (eV per atom): -5.4364

abc: 4.112 4.112 5.883
angles: 90.00 90.00 90.00
Space group P4/mmm (No. 123)
Symmetry-distinct sites (fractional):
1 In 0.000 0.000 0.000
2 Tc 0.500 0.500 0.500
3 I 0.500 0.500 0.000
4 N 0.000 0.500 0.500